DFT (PBE+U) results for an optimized crystal structure of Cr3NF.

Summary:
theoretical density	4.1	g cm⁻³
E above lowest polymorph	0	meV/atom
D(E_F)	2.28	states/eV per cell
electronic total energy	-0.4957	Ry/atom
total moment	13.655	μB per cell

```
data_Cr3NF
_chemical_formula_sum 'Cr3 N1 F1'
_symmetry_space_group_name_H-M 'P m -3 m'
_symmetry_Int_Tables_number 221
_symmetry_space_group_name_Hall '-P 4 2 3'
_cell_length_a 4.2345
_cell_length_b 4.2345
_cell_length_c 4.2345
_cell_angle_alpha 90.00
_cell_angle_beta 90.00
_cell_angle_gamma 90.00
loop_
_atom_site_label
_atom_site_fract_x
_atom_site_fract_y
_atom_site_fract_z
_atom_site_occupancy
Cr1 0.0000 0.0000 0.5000 1
N1 0.0000 0.0000 0.0000 1
F1 0.5000 0.5000 0.5000 1
```